# 1
Below is TaZnPt2 after structural relaxation, with properties calculated at the PBE level.

## Properties
Calculated formation energy   -0.536 eV/atom
DOS(E_F)   1.999 states/eV per cell
E   -6.8378 eV/atom

Unit cell a=2.813 b=4.650 c=4.856 alpha=90.00 beta=90.00 gamma=90.00
Element x y z (fractional)
Ta (0.000, 0.000, 0.000)
Zn (0.000, 0.500, 0.615)
Pt (0.500, 0.000, 0.514)
Pt (0.500, 0.500, 0.131)



# 2
Below is TaZn2Pt after structural relaxation, with properties calculated at the PBE level.

## Properties
Calculated formation energy   -0.271 eV/atom
DOS(E_F)   1.382 states/eV per cell
E   -5.3813 eV/atom

Unit cell a=2.782 b=4.273 c=5.488 alpha=90.00 beta=104.00 gamma=90.00
Element x y z (fractional)
Ta (0.000, 0.000, 0.000)
Zn (0.263, 0.000, 0.506)
Zn (0.657, 0.500, 0.315)
Pt (0.403, 0.500, 0.798)



# 3
Below is Ta3ZnPt after structural relaxation, with properties calculated at the PBE level.

## Properties
Calculated formation energy   1.220 eV/atom
DOS(E_F)   9.571 states/eV per cell
E   -7.3548 eV/atom

Unit cell a=4.618 b=4.618 c=4.618 alpha=90.00 beta=90.00 gamma=90.00
Element x y z (fractional)
Ta (0.000, 0.000, 0.500)
Ta (0.000, 0.500, 0.000)
Ta (0.500, 0.000, 0.000)
Zn (0.000, 0.000, 0.000)
Pt (0.500, 0.500, 0.500)



# 4
Below is Ta2ZnPt after structural relaxation, with properties calculated at the PBE level.

## Properties
Calculated formation energy   -0.281 eV/atom
DOS(E_F)   3.098 states/eV per cell
E   -8.0362 eV/atom

Unit cell a=2.799 b=4.583 c=5.126 alpha=90.00 beta=94.96 gamma=90.00
Element x y z (fractional)
Ta (0.000, 0.000, 0.000)
Ta (0.177, 0.500, 0.676)
Zn (0.580, 0.500, 0.176)
Pt (0.585, 0.000, 0.480)



# 5
Below is TaZn2Pt after structural relaxation, with properties calculated at the PBE level.

## Properties
Calculated formation energy   -0.192 eV/atom
DOS(E_F)   4.430 states/eV per cell
E   -5.3020 eV/atom

Unit cell a=10.633 b=2.754 c=4.939 alpha=90.00 beta=116.91 gamma=90.00
Element x y z (fractional)
Ta (0.000, 0.000, 0.000)
Ta (0.500, 0.500, 0.000)
Zn (0.239, 0.000, 0.740)
Zn (0.261, 0.500, 0.260)
Zn (0.739, 0.500, 0.740)
Zn (0.761, 0.000, 0.260)
Pt (0.000, 0.500, 0.500)
Pt (0.500, 0.000, 0.500)



# 6
Below is TaZn2Pt3 after structural relaxation, with properties calculated at the PBE level.

## Properties
Calculated formation energy   -0.625 eV/atom
DOS(E_F)   0.680 states/eV per cell
E   -6.0459 eV/atom

Unit cell a=2.881 b=2.881 c=11.032 alpha=90.00 beta=90.00 gamma=90.00
Element x y z (fractional)
Ta (0.000, 0.000, 0.000)
Zn (0.000, 0.000, 0.342)
Zn (0.000, 0.000, 0.658)
Pt (0.500, 0.500, 0.176)
Pt (0.500, 0.500, 0.500)
Pt (0.500, 0.500, 0.824)



# 7
Below is Ta2ZnPt after structural relaxation, with properties calculated at the PBE level.

## Properties
Calculated formation energy   -0.292 eV/atom
DOS(E_F)   4.344 states/eV per cell
E   -8.0472 eV/atom

Unit cell a=4.012 b=4.026 c=4.063 alpha=90.00 beta=90.00 gamma=90.00
Element x y z (fractional)
Ta (0.000, 0.000, 0.000)
Ta (0.500, 0.500, 0.000)
Zn (0.000, 0.500, 0.500)
Pt (0.500, 0.000, 0.500)



# 8
Below is Ta2ZnPt after structural relaxation, with properties calculated at the PBE level.

## Properties
Calculated formation energy   -0.203 eV/atom
DOS(E_F)   4.595 states/eV per cell
E   -7.9581 eV/atom

Unit cell a=9.400 b=2.931 c=4.978 alpha=90.00 beta=102.74 gamma=90.00
Element x y z (fractional)
Ta (0.000, 0.000, 0.000)
Ta (0.248, 0.500, 0.255)
Ta (0.500, 0.500, 0.000)
Ta (0.748, 0.000, 0.255)
Zn (0.241, 0.000, 0.752)
Zn (0.741, 0.500, 0.752)
Pt (0.492, 0.000, 0.512)
Pt (0.992, 0.500, 0.512)